{"formula": "Li2MnI4", "functional": "PBE", "state": "relaxed", "final_energy_ev_per_atom": -3.620, "e_form_raw_ev_per_atom": -0.88, "de_polymorph_ev_per_atom": 0.000, "magmom_total_mub_per_cell": 5.0, "space_group": "No. 121", "lattice": [[-2.442, 5.515, -2.586], [-5.890, -1.428, 2.517], [5.624, 1.014, 5.180]], "species": ["Li", "Li", "I", "I", "I", "I", "Mn"], "frac_coords": [[0.750, 0.250, 0.500], [0.250, 0.750, 0.500], [0.135, 0.135, 0.754], [0.865, 0.381, 0.246], [0.619, 0.619, 0.754], [0.381, 0.865, 0.246], [0.500, 0.500, 0.000]]}